No. 1
# GGA-PBE Cd3In12Hg4, relaxed
data_Cd3In12Hg4
_chemical_formula_sum 'Cd6 In24 Hg8'
_cell_length_a 11.0595
_cell_length_b 11.0595
_cell_length_c 11.0595
_cell_angle_alpha 90.00
_cell_angle_beta 90.00
_cell_angle_gamma 90.00
_symmetry_space_group_name_H-M 'I m -3'
_symmetry_Int_Tables_number 204
_symmetry_space_group_name_Hall '-I 2 2 3'
loop_
_atom_site_label
_atom_site_fract_x
_atom_site_fract_y
_atom_site_fract_z
Cd1 0.0000 0.0000 0.5000
In1 0.0000 0.2575 0.3567
Hg1 0.2500 0.2500 0.2500
# E_tot in eV per cell: -68.71
# Calculated formation energy in eV per atom: 0.129
# Volume in Å³/cell: 1352.7
# Total moment in μB/atom: 0.000


No. 2
# GGA-PBE Cd6InHg5, relaxed
data_Cd6InHg5
_chemical_formula_sum 'Cd12 In2 Hg10'
_cell_length_a 6.1508
_cell_length_b 10.3796
_cell_length_c 9.4645
_cell_angle_alpha 90.00
_cell_angle_beta 103.42
_cell_angle_gamma 90.00
_symmetry_space_group_name_H-M 'C 1 2/m 1'
_symmetry_Int_Tables_number 12
loop_
_symmetry_equiv_pos_as_xyz
'x,y,z'
'-x,-y,-z'
'-x,y,-z'
'x,-y,z'
'x+1/2,y+1/2,z'
'-x+1/2,-y+1/2,-z'
'-x+1/2,y+1/2,-z'
'x+1/2,-y+1/2,z'
loop_
_atom_site_label
_atom_site_fract_x
_atom_site_fract_y
_atom_site_fract_z
Cd1 0.2421 0.1694 0.2485
Cd2 0.2471 0.0000 0.7511
In1 0.0000 0.5000 0.5000
Hg1 0.0000 0.0000 0.0000
Hg2 0.0000 0.1673 0.5000
Hg3 0.0000 0.3348 0.0000
# E_tot in eV per cell: -18.98
# Calculated formation energy in eV per atom: 0.021
# Volume in Å³/cell: 587.8
# Total moment in μB/atom: 0.000


No. 3
# GGA-PBE Cd4In5Hg, relaxed
data_Cd4In5Hg
_chemical_formula_sum 'Cd4 In5 Hg1'
_cell_length_a 3.4814
_cell_length_b 3.4814
_cell_length_c 21.0166
_cell_angle_alpha 90.00
_cell_angle_beta 90.00
_cell_angle_gamma 90.00
_symmetry_space_group_name_H-M 'P 4/m m m'
_symmetry_Int_Tables_number 123
_symmetry_space_group_name_Hall '-P 4 2'
loop_
_atom_site_label
_atom_site_fract_x
_atom_site_fract_y
_atom_site_fract_z
Cd1 0.0000 0.0000 0.0996
Cd2 0.0000 0.0000 0.2979
In1 0.5000 0.5000 0.0000
In2 0.5000 0.5000 0.1985
In3 0.5000 0.5000 0.3977
Hg1 0.0000 0.0000 0.5000
# E_tot in eV per cell: -17.26
# Calculated formation energy in eV per atom: 0.039
# Volume in Å³/cell: 254.7
# Total moment in μB/atom: 0.000


No. 4
# GGA-PBE Cd16InHg12, relaxed
data_Cd16InHg12
_chemical_formula_sum 'Cd32 In2 Hg24'
_cell_length_a 13.8273
_cell_length_b 14.0416
_cell_length_c 8.7692
_cell_angle_alpha 90.00
_cell_angle_beta 121.89
_cell_angle_gamma 90.00
_symmetry_space_group_name_H-M 'C 1 m 1'
_symmetry_Int_Tables_number 8
loop_
_symmetry_equiv_pos_as_xyz
'x,y,z'
'x,-y,z'
'x+1/2,y+1/2,z'
'x+1/2,-y+1/2,z'
loop_
_atom_site_label
_atom_site_fract_x
_atom_site_fract_y
_atom_site_fract_z
Cd1 0.0000 0.0000 0.0000
Cd2 0.0006 0.3150 0.7411
Cd3 0.0937 0.5000 0.6791
Cd4 0.0993 0.3315 0.4540
Cd5 0.1189 0.1946 0.1132
Cd6 0.1939 0.0000 0.3868
Cd7 0.3157 0.3507 0.8436
Cd8 0.3185 0.3121 0.4375
Cd9 0.4133 0.0000 0.7949
Cd10 0.4244 0.1752 0.0539
In1 0.2622 0.0000 0.9823
Hg1 0.0522 0.1141 0.7284
Hg2 0.0826 0.5000 0.2082
Hg3 0.2169 0.3874 0.0665
Hg4 0.2415 0.1609 0.6443
Hg5 0.3016 0.5000 0.5845
Hg6 0.3600 0.1163 0.3347
Hg7 0.4810 0.3808 0.3100
# E_tot in eV per cell: -40.14
# Calculated formation energy in eV per atom: 0.032
# Volume in Å³/cell: 1445.6
# Total moment in μB/atom: 0.000


Q: Which of these has the highest E_tot?
A: Cd4In5Hg